# Re3AsPt, relaxed, DFT PBE
data_Re3AsPt
_cell_length_a 4.491
_cell_length_b 4.491
_cell_length_c 4.491
_cell_angle_alpha 90.00
_cell_angle_beta 90.00
_cell_angle_gamma 90.00
_space_group_name_H-M_alt 'P m -3 m'
_space_group_IT_number 221
_space_group_name_Hall '-P 4 2 3'
loop_
_atom_site_label
_atom_site_type_symbol
_atom_site_fract_x
_atom_site_fract_y
_atom_site_fract_z
_atom_site_occupancy
Re1 Re 0.000 0.000 0.500 1
As1 As 0.000 0.000 0.000 1
Pt1 Pt 0.500 0.500 0.500 1
# ΔE_f in eV/atom: 1.659
# V in Å³/cell: 90.6
# ΔE to the lowest computed polymorph in eV per formula unit: 0.00
# Calculated total energy in eV/atom: -7.95
# Fermi-level density of states in states/eV per atom: 0.873

---

# BaTc3Te, relaxed, DFT PBE
data_BaTc3Te
_cell_length_a 5.006
_cell_length_b 5.006
_cell_length_c 5.006
_cell_angle_alpha 90.00
_cell_angle_beta 90.00
_cell_angle_gamma 90.00
_space_group_name_H-M_alt 'P m -3 m'
_space_group_IT_number 221
_space_group_name_Hall '-P 4 2 3'
loop_
_atom_site_label
_atom_site_type_symbol
_atom_site_fract_x
_atom_site_fract_y
_atom_site_fract_z
_atom_site_occupancy
Ba1 Ba 0.000 0.000 0.000 1
Tc1 Tc 0.000 0.500 0.500 1
Te1 Te 0.500 0.500 0.500 1
# V in Å³/cell: 125.5
# ΔE to the lowest computed polymorph in eV per formula unit: 0.00
# Calculated total energy in eV/atom: -5.99
# Fermi-level density of states in states/eV per atom: 1.024
# Energy relative to the elements, uncorrected in kJ/mol of atoms: 120.3

---

# Tb3Nd6Tl, relaxed, DFT PBE
data_Tb3Nd6Tl
_cell_length_a 12.461
_cell_length_b 3.640
_cell_length_c 14.959
_cell_angle_alpha 90.00
_cell_angle_beta 93.98
_cell_angle_gamma 90.00
_space_group_name_H-M_alt 'P 1 21/m 1'
_space_group_IT_number 11
loop_
_space_group_symop_operation_xyz
'x,y,z'
'-x,-y,-z'
'-x,y+1/2,-z'
'x,-y+1/2,z'
loop_
_atom_site_label
_atom_site_type_symbol
_atom_site_fract_x
_atom_site_fract_y
_atom_site_fract_z
_atom_site_occupancy
Tb1 Tb 0.053 0.250 0.303 1
Tb2 Tb 0.100 0.250 0.082 1
Tb3 Tb 0.427 0.250 0.818 1
Nd1 Nd 0.113 0.750 0.502 1
Nd2 Nd 0.189 0.750 0.893 1
Nd3 Nd 0.204 0.250 0.688 1
Nd4 Nd 0.301 0.750 0.249 1
Nd5 Nd 0.381 0.250 0.046 1
Nd6 Nd 0.436 0.750 0.609 1
Tl1 Tl 0.311 0.250 0.441 1
# ΔE_f in eV/atom: 0.017
# V in Å³/cell: 676.9
# ΔE to the lowest computed polymorph in eV per formula unit: 0.00
# Calculated total energy in eV/atom: -4.47
# Fermi-level density of states in states/eV per atom: 1.374

---

# K2AsH6, relaxed, DFT PBE
data_K2AsH6
_cell_length_a 8.069
_cell_length_b 8.069
_cell_length_c 8.069
_cell_angle_alpha 90.00
_cell_angle_beta 90.00
_cell_angle_gamma 90.00
_space_group_name_H-M_alt 'F m -3 m'
_space_group_IT_number 225
_space_group_name_Hall '-F 4 2 3'
loop_
_atom_site_label
_atom_site_type_symbol
_atom_site_fract_x
_atom_site_fract_y
_atom_site_fract_z
_atom_site_occupancy
K1 K 0.250 0.250 0.250 1
As1 As 0.000 0.000 0.000 1
H1 H 0.000 0.000 0.215 1
# V in Å³/cell: 525.4
# Calculated total energy in eV/atom: -2.90
# Fermi-level density of states in states/eV per atom: 0.059

---

# Cd2TeRh, relaxed, DFT PBE
data_Cd2TeRh
_cell_length_a 3.1286
_cell_length_b 3.1286
_cell_length_c 31.6013
_cell_angle_alpha 90.00
_cell_angle_beta 90.00
_cell_angle_gamma 120.00
_space_group_name_H-M_alt 'R -3 m'
_space_group_IT_number 166
_space_group_name_Hall '-R 3 2"'
loop_
_atom_site_label
_atom_site_type_symbol
_atom_site_fract_x
_atom_site_fract_y
_atom_site_fract_z
_atom_site_occupancy
Cd1 Cd 0.0000 0.0000 0.2335 1
Te1 Te 0.0000 0.0000 0.0000 1
Rh1 Rh 0.0000 0.0000 0.5000 1
# V in Å³/cell: 267.9
# Calculated total energy in eV/atom: -2.94
# Fermi-level density of states in states/eV per atom: 0.972
# Energy relative to the elements, uncorrected in kJ/mol of atoms: 13.8

---

# MgNiSe, relaxed, DFT PBE
data_MgNiSe
_cell_length_a 3.9634
_cell_length_b 3.9634
_cell_length_c 3.7392
_cell_angle_alpha 90.00
_cell_angle_beta 90.00
_cell_angle_gamma 120.00
_space_group_name_H-M_alt 'P -6 m 2'
_space_group_IT_number 187
_space_group_name_Hall 'P -6 2'
loop_
_atom_site_label
_atom_site_type_symbol
_atom_site_fract_x
_atom_site_fract_y
_atom_site_fract_z
_atom_site_occupancy
Mg1 Mg 0.0000 0.0000 0.0000 1
Ni1 Ni 0.3333 0.6667 0.5000 1
Se1 Se 0.6667 0.3333 0.5000 1
# V in Å³/cell: 50.9
# Calculated total energy in eV/atom: -4.08
# Fermi-level density of states in states/eV per atom: 0.352
# Energy relative to the elements, uncorrected in kJ/mol of atoms: -44.3

---

# LaTi2Pd2, relaxed, DFT PBE
data_LaTi2Pd2
_cell_length_a 4.460
_cell_length_b 4.460
_cell_length_c 10.569
_cell_angle_alpha 90.00
_cell_angle_beta 90.00
_cell_angle_gamma 90.00
_space_group_name_H-M_alt 'I 4/m m m'
_space_group_IT_number 139
_space_group_name_Hall '-I 4 2'
loop_
_atom_site_label
_atom_site_type_symbol
_atom_site_fract_x
_atom_site_fract_y
_atom_site_fract_z
_atom_site_occupancy
La1 La 0.000 0.000 0.000 1
Ti1 Ti 0.000 0.500 0.250 1
Pd1 Pd 0.000 0.000 0.372 1
# ΔE_f in eV/atom: -0.447
# V in Å³/cell: 210.2
# ΔE to the lowest computed polymorph in eV per formula unit: 0.00
# Calculated total energy in eV/atom: -6.67
# Fermi-level density of states in states/eV per atom: 0.973

---

# NaTl2ReCl6, relaxed, DFT PBE
data_NaTl2ReCl6
_cell_length_a 7.191
_cell_length_b 10.276
_cell_length_c 7.330
_cell_angle_alpha 90.00
_cell_angle_beta 90.00
_cell_angle_gamma 90.00
_space_group_name_H-M_alt 'P m m n'
_space_group_IT_number 59
loop_
_space_group_symop_operation_xyz
'x,y,z'
'-x,-y,-z'
'-x+1/2,-y+1/2,z'
'x+1/2,y+1/2,-z'
'x+1/2,-y,-z'
'-x+1/2,y,z'
'-x,y+1/2,-z'
'x,-y+1/2,z'
loop_
_atom_site_label
_atom_site_type_symbol
_atom_site_fract_x
_atom_site_fract_y
_atom_site_fract_z
_atom_site_occupancy
Na1 Na 0.250 0.250 0.249 1
Tl1 Tl 0.250 0.019 0.749 1
Re1 Re 0.250 0.750 0.251 1
Cl1 Cl 0.012 0.750 0.021 1
Cl2 Cl 0.012 0.750 0.480 1
Cl3 Cl 0.250 0.517 0.251 1
# V in Å³/cell: 541.6
# Calculated total energy in eV/atom: -3.85
# Fermi-level density of states in states/eV per atom: 0.595
# Energy relative to the elements, uncorrected in kJ/mol of atoms: -86.1